No. 1
The following is a PBE-GGA calculation of a relaxed structure of Sc2CoB2, from the Alexandria database.

Structure (POSCAR):
```
Sc2CoB2
1.0
-0.7991 -4.8324 -3.3668
-1.3941 -3.1459 4.8462
-3.3439 0.8422 -0.4152
Sc Co B
4 2 4
direct
0.3148 0.1852 0.5000
0.1852 0.6852 0.5000
0.6852 0.8148 0.5000
0.8148 0.3148 0.5000
0.5000 0.5000 0.0000
0.0000 0.0000 0.0000
0.1035 0.3965 0.0000
0.3965 0.8965 0.0000
0.8965 0.6035 0.0000
0.6035 0.1035 0.0000
```

Its total energy is -7.10 eV per atom. The crystal system is tetragonal. Its size of the total moment is 0.0000 μB per atom. The value obtained for the energy relative to the elements is -0.474 eV per atom. As for the space-group type: P4/mbm.

No. 2
The following is a PBE-GGA calculation of a relaxed structure of ScCo2B4, from the Alexandria database.

Structure (POSCAR):
```
ScCo2B4
1.0
-3.0132 -0.2727 -0.3393
0.3986 -0.4993 -3.1390
1.7477 -5.7663 2.7736
B Co Sc
4 2 1
direct
0.3486 0.3486 0.6972
0.9212 0.4212 0.8423
0.0788 0.5788 0.1577
0.6514 0.6514 0.3028
0.1872 0.1872 0.3745
0.8128 0.8128 0.6255
0.5000 0.0000 0.0000
```

Its total energy is -7.25 eV per atom. The crystal system is orthorhombic. Its size of the total moment is 0.0023 μB per atom. The value obtained for the energy relative to the elements is -0.501 eV per atom. As for the space-group type: Immm.